# 1
{
  "formula": "ZnTe2Rh",
  "functional": "PBE",
  "state": "optimized geometry",
  "magnetic_moment_mub_per_atom": 0.0000,
  "vol_a3_per_atom": 21.6,
  "space_group": "Pmmm",
  "raw_formation_energy_ev_per_atom": 0.222,
  "lattice": [[3.8092, 0.0000, 0.0000], [0.0000, 4.0252, 0.0000], [0.0000, 0.0000, 5.6469]],
  "species": ["Zn", "Te", "Te", "Rh"],
  "frac_coords": [[0.0000, 0.0000, 0.0000], [0.5000, 0.0000, 0.5000], [0.5000, 0.5000, 0.0000], [0.0000, 0.5000, 0.5000]]
}



# 2
{
  "formula": "NaTlCoCl6",
  "functional": "PBE",
  "state": "optimized geometry",
  "magnetic_moment_mub_per_atom": 0.0003,
  "vol_a3_per_atom": 25.9,
  "space_group": "P-31c",
  "raw_formation_energy_ev_per_atom": -0.835,
  "lattice": [[6.8795, 0.0000, 0.0000], [-3.4397, 5.9578, 0.0000], [0.0000, 0.0000, 11.3675]],
  "species": ["Na", "Na", "Tl", "Tl", "Co", "Co", "Cl", "Cl", "Cl", "Cl", "Cl", "Cl", "Cl", "Cl", "Cl", "Cl", "Cl", "Cl"],
  "frac_coords": [[0.0000, 0.0000, 0.0000], [0.0000, 0.0000, 0.5000], [0.3333, 0.6667, 0.2500], [0.6667, 0.3333, 0.7500], [0.3333, 0.6667, 0.7500], [0.6667, 0.3333, 0.2500], [0.0697, 0.3974, 0.6332], [0.0697, 0.6723, 0.8668], [0.3277, 0.3974, 0.8668], [0.3277, 0.9303, 0.6332], [0.3974, 0.0697, 0.1332], [0.3974, 0.3277, 0.3668], [0.6026, 0.6723, 0.6332], [0.6026, 0.9303, 0.8668], [0.6723, 0.0697, 0.3668], [0.6723, 0.6026, 0.1332], [0.9303, 0.3277, 0.1332], [0.9303, 0.6026, 0.3668]]
}



# 3
{
  "formula": "ZrTiTlIn",
  "functional": "PBE",
  "state": "optimized geometry",
  "magnetic_moment_mub_per_atom": 0.2896,
  "vol_a3_per_atom": 21.5,
  "space_group": "F-43m",
  "ef_mev_per_atom": 59,
  "lattice": [[7.0053, 0.0000, 0.0000], [0.0000, 7.0053, 0.0000], [0.0000, 0.0000, 7.0053]],
  "species": ["Zr", "Zr", "Zr", "Zr", "Ti", "Ti", "Ti", "Ti", "Tl", "Tl", "Tl", "Tl", "In", "In", "In", "In"],
  "frac_coords": [[0.0000, 0.0000, 0.0000], [0.0000, 0.5000, 0.5000], [0.5000, 0.0000, 0.5000], [0.5000, 0.5000, 0.0000], [0.0000, 0.0000, 0.5000], [0.0000, 0.5000, 0.0000], [0.5000, 0.0000, 0.0000], [0.5000, 0.5000, 0.5000], [0.2500, 0.2500, 0.2500], [0.2500, 0.7500, 0.7500], [0.7500, 0.2500, 0.7500], [0.7500, 0.7500, 0.2500], [0.2500, 0.2500, 0.7500], [0.2500, 0.7500, 0.2500], [0.7500, 0.2500, 0.2500], [0.7500, 0.7500, 0.7500]]
}



# 4
{
  "formula": "Tl2CdRuO6",
  "functional": "PBE",
  "state": "optimized geometry",
  "magnetic_moment_mub_per_atom": 0.2117,
  "vol_a3_per_atom": 13.8,
  "space_group": "R3",
  "raw_formation_energy_ev_per_atom": -0.803,
  "lattice": [[2.8635, 1.6533, 4.8547], [-2.8635, 1.6533, 4.8547], [0.0000, -3.3065, 4.8547]],
  "species": ["Tl", "Tl", "Cd", "Ru", "O", "O", "O", "O", "O", "O"],
  "frac_coords": [[0.0000, 0.0000, 0.0000], [0.4887, 0.4887, 0.4887], [0.2273, 0.2273, 0.2273], [0.7126, 0.7126, 0.7126], [0.0490, 0.4654, 0.8320], [0.3592, 0.9051, 0.6112], [0.4654, 0.8320, 0.0490], [0.6112, 0.3592, 0.9051], [0.8320, 0.0490, 0.4654], [0.9051, 0.6112, 0.3592]]
}